(1)
NbAl2Zn2: relaxed, GGA-PBE.

abc: 7.277 7.277 3.009
angles: 90.00 90.00 90.00
Sites, in units of the cell vectors:
Nb 0.000 0.000 0.000
Nb 0.500 0.500 0.000
Al 0.136 0.364 0.000
Al 0.364 0.864 0.000
Al 0.636 0.136 0.000
Al 0.864 0.636 0.000
Zn 0.163 0.663 0.500
Zn 0.337 0.163 0.500
Zn 0.663 0.837 0.500
Zn 0.837 0.337 0.500

Summary:
Calculated density, g/cm³: 5.8
Calculated formation energy, eV/atom: 0.03

***

(2)
ZrNbAl2Zn: relaxed, GGA-PBE.

abc: 5.227 5.227 4.837
angles: 90.00 90.00 90.00
Sites, in units of the cell vectors:
Zr 0.000 0.000 0.000
Nb 0.000 0.000 0.500
Al 0.000 0.500 0.000
Al 0.500 0.000 0.000
Zn 0.500 0.500 0.500

Summary:
Calculated density, g/cm³: 3.8
Calculated formation energy, eV/atom: 1.24

***

(3)
ZrNbAl3: relaxed, GGA-PBE.

abc: 4.907 4.907 4.907
angles: 90.00 90.00 90.00
Sites, in units of the cell vectors:
Zr 0.000 0.000 0.000
Nb 0.500 0.500 0.500
Al 0.000 0.000 0.500
Al 0.000 0.500 0.000
Al 0.500 0.000 0.000

Summary:
Calculated density, g/cm³: 3.7
Calculated formation energy, eV/atom: 1.32

***

(4)
ZrNbAl: relaxed, GGA-PBE.

abc: 4.748 4.748 2.896
angles: 90.00 90.00 120.00
Sites, in units of the cell vectors:
Zr 0.000 0.000 0.000
Nb 0.667 0.333 0.000
Al 0.333 0.667 0.500

Summary:
Calculated density, g/cm³: 6.2
Calculated formation energy, eV/atom: -0.05

***

(5)
Zr2Nb2Al: relaxed, GGA-PBE.

abc: 7.176 7.176 3.998
angles: 90.00 90.00 90.00
Sites, in units of the cell vectors:
Zr 0.171 0.329 0.000
Zr 0.329 0.829 0.000
Zr 0.671 0.171 0.000
Zr 0.829 0.671 0.000
Nb 0.133 0.633 0.500
Nb 0.367 0.133 0.500
Nb 0.633 0.867 0.500
Nb 0.867 0.367 0.500
Al 0.000 0.000 0.500
Al 0.500 0.500 0.500

Summary:
Calculated density, g/cm³: 6.4
Calculated formation energy, eV/atom: 0.03

***

(6)
ZrNb2Al: relaxed, GGA-PBE.

abc: 4.039 4.039 4.603
angles: 90.00 90.00 90.00
Sites, in units of the cell vectors:
Zr 0.000 0.000 0.000
Nb 0.000 0.500 0.500
Nb 0.500 0.000 0.500
Al 0.500 0.500 0.000

Summary:
Calculated density, g/cm³: 6.7
Calculated formation energy, eV/atom: -0.18

***

(7)
Zr3NbAl8: relaxed, GGA-PBE.

abc: 9.129 9.129 9.129
angles: 33.59 33.59 33.59
Sites, in units of the cell vectors:
Zr 0.000 0.000 0.000
Zr 0.127 0.127 0.127
Zr 0.624 0.624 0.624
Nb 0.500 0.500 0.500
Al 0.063 0.063 0.562
Al 0.063 0.562 0.063
Al 0.064 0.563 0.563
Al 0.313 0.313 0.313
Al 0.562 0.063 0.063
Al 0.563 0.064 0.563
Al 0.563 0.563 0.064
Al 0.813 0.813 0.813

Summary:
Calculated density, g/cm³: 4.7
Calculated formation energy, eV/atom: -0.48

***

(8)
ZrNbAl: relaxed, GGA-PBE.

abc: 8.018 8.018 8.018
angles: 159.65 159.65 28.94
Sites, in units of the cell vectors:
Zr 0.000 0.000 0.000
Nb 0.184 0.184 0.000
Al 0.356 0.356 0.000

Summary:
Calculated density, g/cm³: 5.6
Calculated formation energy, eV/atom: 0.47

***

(9)
ZrNb2Al2: relaxed, GGA-PBE.

abc: 7.245 7.245 3.475
angles: 90.00 90.00 90.00
Sites, in units of the cell vectors:
Zr 0.000 0.000 0.000
Zr 0.500 0.500 0.000
Nb 0.174 0.326 0.500
Nb 0.326 0.826 0.500
Nb 0.674 0.174 0.500
Nb 0.826 0.674 0.500
Al 0.123 0.623 0.000
Al 0.377 0.123 0.000
Al 0.623 0.877 0.000
Al 0.877 0.377 0.000

Summary:
Calculated density, g/cm³: 6.0
Calculated formation energy, eV/atom: -0.33

***

(10)
ZrNb2Al2: relaxed, GGA-PBE.

abc: 8.086 8.086 2.856
angles: 90.00 90.00 90.00
Sites, in units of the cell vectors:
Zr 0.000 0.000 0.000
Zr 0.500 0.500 0.000
Nb 0.117 0.383 0.000
Nb 0.383 0.883 0.000
Nb 0.617 0.117 0.000
Nb 0.883 0.617 0.000
Al 0.179 0.679 0.500
Al 0.321 0.179 0.500
Al 0.679 0.821 0.500
Al 0.821 0.321 0.500

Summary:
Calculated density, g/cm³: 5.9
Calculated formation energy, eV/atom: -0.14

***

(11)
ZrNbAl3: relaxed, GGA-PBE.

abc: 7.081 7.081 7.081
angles: 148.82 148.82 44.68
Sites, in units of the cell vectors:
Zr 0.000 0.000 0.000
Nb 0.619 0.619 0.000
Al 0.270 0.770 0.500
Al 0.416 0.416 0.000
Al 0.770 0.270 0.500

Summary:
Calculated density, g/cm³: 4.6
Calculated formation energy, eV/atom: -0.04

***

(12)
ZrNb2Al2: relaxed, GGA-PBE.

abc: 7.290 7.290 7.290
angles: 149.73 149.73 43.33
Sites, in units of the cell vectors:
Zr 0.000 0.000 0.000
Nb 0.404 0.404 0.000
Nb 0.596 0.596 0.000
Al 0.250 0.750 0.500
Al 0.750 0.250 0.500

Summary:
Calculated density, g/cm³: 5.6
Calculated formation energy, eV/atom: 0.21

***

(13)
ZrNb2Al: relaxed, GGA-PBE.

abc: 6.061 6.061 6.061
angles: 101.72 101.72 126.42
Sites, in units of the cell vectors:
Zr 0.000 0.000 0.000
Zr 0.750 0.250 0.500
Nb 0.154 0.125 0.529
Nb 0.375 0.846 0.971
Nb 0.596 0.625 0.471
Nb 0.875 0.404 0.029
Al 0.250 0.750 0.500
Al 0.500 0.500 0.000

Summary:
Calculated density, g/cm³: 6.3
Calculated formation energy, eV/atom: 0.38

***

(14)
ZrNbAl: relaxed, GGA-PBE.

abc: 8.195 8.195 8.195
angles: 152.45 152.45 39.35
Sites, in units of the cell vectors:
Zr 0.179 0.179 0.000
Zr 0.821 0.821 0.000
Nb 0.000 0.500 0.500
Nb 0.500 0.000 0.500
Al 0.367 0.367 0.000
Al 0.633 0.633 0.000

Summary:
Calculated density, g/cm³: 6.0
Calculated formation energy, eV/atom: -0.31

***

(15)
Zr3NbAl: relaxed, GGA-PBE.

abc: 4.969 4.969 4.969
angles: 90.00 90.00 90.00
Sites, in units of the cell vectors:
Zr 0.000 0.000 0.500
Zr 0.000 0.500 0.000
Zr 0.500 0.000 0.000
Nb 0.500 0.500 0.500
Al 0.000 0.000 0.000

Summary:
Calculated density, g/cm³: 5.3
Calculated formation energy, eV/atom: 0.92

***

(16)
ZrNb2Al: relaxed, GGA-PBE.

abc: 4.304 3.466 10.514
angles: 90.00 101.76 90.00
Sites, in units of the cell vectors:
Zr 0.196 0.250 0.394
Zr 0.804 0.750 0.606
Nb 0.063 0.750 0.126
Nb 0.443 0.750 0.886
Nb 0.557 0.250 0.114
Nb 0.937 0.250 0.874
Al 0.339 0.250 0.677
Al 0.661 0.750 0.323

Summary:
Calculated density, g/cm³: 6.6
Calculated formation energy, eV/atom: -0.21

***

(17)
ZrNbAl3: relaxed, GGA-PBE.

abc: 4.813 4.813 4.813
angles: 90.00 90.00 90.00
Sites, in units of the cell vectors:
Zr 0.000 0.000 0.000
Nb 0.500 0.500 0.500
Al 0.000 0.500 0.500
Al 0.500 0.000 0.500
Al 0.500 0.500 0.000

Summary:
Calculated density, g/cm³: 3.9
Calculated formation energy, eV/atom: 0.61

***

(18)
ZrNbAl: relaxed, GGA-PBE.

abc: 7.387 7.387 3.721
angles: 90.00 90.00 120.00
Sites, in units of the cell vectors:
Zr 0.000 0.605 0.000
Zr 0.395 0.395 0.000
Zr 0.605 0.000 0.000
Nb 0.000 0.258 0.500
Nb 0.258 0.000 0.500
Nb 0.742 0.742 0.500
Al 0.000 0.000 0.000
Al 0.333 0.667 0.500
Al 0.667 0.333 0.500

Summary:
Calculated density, g/cm³: 6.0
Calculated formation energy, eV/atom: -0.24

***

(19)
Nd5Al: relaxed, GGA-PBE.

abc: 8.141 8.141 4.930
angles: 90.00 90.00 144.71
Sites, in units of the cell vectors:
Nd 0.000 0.000 0.000
Nd 0.160 0.840 0.500
Nd 0.342 0.658 0.000
Nd 0.658 0.342 0.000
Nd 0.840 0.160 0.500
Al 0.500 0.500 0.500

Summary:
Calculated density, g/cm³: 6.6
Calculated formation energy, eV/atom: -0.07

***

(20)
NdAl5: relaxed, GGA-PBE.

abc: 6.633 6.633 4.331
angles: 90.00 90.00 142.11
Sites, in units of the cell vectors:
Nd 0.000 0.000 0.000
Al 0.176 0.824 0.500
Al 0.319 0.681 0.000
Al 0.500 0.500 0.500
Al 0.681 0.319 0.000
Al 0.824 0.176 0.500

Summary:
Calculated density, g/cm³: 4.0
Calculated formation energy, eV/atom: -0.21

***

(21)
NdAl: relaxed, GGA-PBE.

abc: 5.986 11.832 5.752
angles: 90.00 90.00 90.00
Sites, in units of the cell vectors:
Nd 0.095 0.167 0.250
Nd 0.095 0.333 0.750
Nd 0.335 0.011 0.750
Nd 0.335 0.489 0.250
Nd 0.665 0.511 0.750
Nd 0.665 0.989 0.250
Nd 0.905 0.667 0.250
Nd 0.905 0.833 0.750
Al 0.167 0.601 0.750
Al 0.167 0.899 0.250
Al 0.427 0.750 0.000
Al 0.427 0.750 0.500
Al 0.573 0.250 0.000
Al 0.573 0.250 0.500
Al 0.833 0.101 0.750
Al 0.833 0.399 0.250

Summary:
Calculated density, g/cm³: 5.6
Calculated formation energy, eV/atom: -0.39

***

(22)
Nd8Al: relaxed, GGA-PBE.

abc: 8.077 8.077 8.077
angles: 95.52 95.52 143.88
Sites, in units of the cell vectors:
Nd 0.000 0.328 0.328
Nd 0.000 0.672 0.672
Nd 0.328 0.000 0.328
Nd 0.342 0.342 0.684
Nd 0.342 0.658 0.000
Nd 0.658 0.342 0.000
Nd 0.658 0.658 0.316
Nd 0.672 0.000 0.672
Al 0.000 0.000 0.000

Summary:
Calculated density, g/cm³: 6.6
Calculated formation energy, eV/atom: -0.02

***

(23)
Nd5Al4: relaxed, GGA-PBE.

abc: 6.022 6.022 10.727
angles: 116.22 116.22 47.57
Sites, in units of the cell vectors:
Nd 0.000 0.000 0.000
Nd 0.111 0.111 0.413
Nd 0.239 0.239 0.835
Nd 0.761 0.761 0.165
Nd 0.889 0.889 0.587
Al 0.385 0.385 0.374
Al 0.465 0.465 0.178
Al 0.535 0.535 0.822
Al 0.615 0.615 0.626

Summary:
Calculated density, g/cm³: 5.5
Calculated formation energy, eV/atom: -0.31

***

(24)
Nd3Al: relaxed, GGA-PBE.

abc: 7.117 7.117 5.401
angles: 90.00 90.00 120.00
Sites, in units of the cell vectors:
Nd 0.178 0.356 0.250
Nd 0.178 0.822 0.250
Nd 0.356 0.178 0.750
Nd 0.644 0.822 0.250
Nd 0.822 0.178 0.750
Nd 0.822 0.644 0.750
Al 0.333 0.667 0.750
Al 0.667 0.333 0.250

Summary:
Calculated density, g/cm³: 6.4
Calculated formation energy, eV/atom: -0.18

***

(25)
NdAl: relaxed, GGA-PBE.

abc: 3.729 3.729 3.729
angles: 90.00 90.00 90.00
Sites, in units of the cell vectors:
Nd 0.000 0.000 0.000
Al 0.500 0.500 0.500

Summary:
Calculated density, g/cm³: 5.5
Calculated formation energy, eV/atom: -0.35

***

(26)
NdAl5: relaxed, GGA-PBE.

abc: 5.759 5.759 5.759
angles: 134.78 109.98 87.35
Sites, in units of the cell vectors:
Nd 0.000 0.000 0.000
Al 0.132 0.339 0.792
Al 0.453 0.661 0.792
Al 0.500 0.000 0.500
Al 0.547 0.339 0.208
Al 0.868 0.661 0.208

Summary:
Calculated density, g/cm³: 3.8
Calculated formation energy, eV/atom: -0.21